HoSc2Sb: relaxed, GGA-PBE.

The structure in CIF format:
```
data_HoSc2Sb
_chemical_formula_sum 'Ho1 Sc2 Sb1'
_symmetry_space_group_name_H-M 'P 1'
_symmetry_Int_Tables_number 1
_cell_length_a 3.834
_cell_length_b 3.834
_cell_length_c 9.147
_cell_angle_alpha 77.90
_cell_angle_beta 77.90
_cell_angle_gamma 60.00
loop_
_symmetry_equiv_pos_as_xyz
'x,y,z'
loop_
_atom_site_label
_atom_site_fract_x
_atom_site_fract_y
_atom_site_fract_z
_atom_site_occupancy
Sb1 0.666 0.666 0.003 1
Ho1 0.501 0.501 0.496 1
Sc1 0.068 0.068 0.797 1
Sc2 0.265 0.265 0.204 1
```

Results
- Volume: 28.24 Å³/atom
- Final energy: -5.5885 eV per atom
- Space-group type: R3m (160)
- ΔE_f (raw): -0.2477 eV/atom